Below is AcPm3Pt8 after structural relaxation, with properties calculated at the PBE level.

Calculated values
* energy of formation: -996.2 meV per atom

Cell: 5.544 5.544 9.116 Å, 90.00 90.00 120.00°
Fractional coordinates of all 12 atoms:
Pt: 0.996 0.498 0.755
Pt: 0.333 0.667 0.000
Pt: 0.333 0.667 0.500
Pt: 0.502 0.004 0.755
Pt: 0.166 0.834 0.247
Pt: 0.669 0.834 0.247
Pt: 0.502 0.498 0.755
Pt: 0.166 0.331 0.247
Pm: 0.667 0.333 0.427
Pm: 0.000 0.000 0.941
Pm: 0.667 0.333 0.062
Ac: 0.000 0.000 0.567

Below is Ac5Pm2Pt5 after structural relaxation, with properties calculated at the PBE level.

Calculated values
* energy of formation: -996.0 meV per atom

Cell: 4.252 7.484 13.199 Å, 71.00 80.73 73.50°
Fractional coordinates of all 12 atoms:
Ac: 0.258 0.126 0.357
Ac: 0.742 0.874 0.643
Ac: 0.500 0.500 0.500
Ac: 0.346 0.257 0.050
Ac: 0.654 0.743 0.950
Pm: 0.958 0.296 0.787
Pm: 0.042 0.704 0.213
Pt: 0.886 0.811 0.417
Pt: 0.000 0.000 0.000
Pt: 0.688 0.438 0.186
Pt: 0.312 0.562 0.814
Pt: 0.114 0.189 0.583

Below is Ac3PmPt8 after structural relaxation, with properties calculated at the PBE level.

Calculated values
* energy of formation: -1030.8 meV per atom

Cell: 5.618 5.618 9.747 Å, 73.25 73.25 60.00°
Fractional coordinates of all 12 atoms:
Pt: 0.188 0.188 0.437
Pt: 0.440 0.938 0.684
Pt: 0.688 0.688 0.937
Pt: 0.437 0.437 0.191
Pt: 0.936 0.437 0.191
Pt: 0.437 0.936 0.191
Pt: 0.938 0.440 0.684
Pt: 0.938 0.938 0.684
Ac: 0.376 0.376 0.873
Ac: 0.502 0.502 0.495
Ac: 0.998 0.998 0.006
Pm: 0.874 0.874 0.378

Below is AcPm2Pt after structural relaxation, with properties calculated at the PBE level.

Calculated values
* energy of formation: -286.0 meV per atom

Cell: 5.653 4.554 4.554 Å, 90.00 90.00 90.00°
Fractional coordinates of all 4 atoms:
Pm: 0.000 0.000 0.500
Pm: 0.000 0.500 0.000
Pt: 0.500 0.000 0.000
Ac: 0.500 0.500 0.500

Below is AcPmPt2 after structural relaxation, with properties calculated at the PBE level.

Calculated values
* energy of formation: -1156.5 meV per atom

Cell: 4.595 5.977 8.031 Å, 109.98 90.00 90.00°
Fractional coordinates of all 8 atoms:
Pt: 0.250 0.675 0.053
Pt: 0.250 0.687 0.537
Pt: 0.750 0.325 0.947
Pt: 0.750 0.313 0.463
Pm: 0.750 0.774 0.322
Pm: 0.250 0.226 0.678
Ac: 0.750 0.770 0.814
Ac: 0.250 0.230 0.186

Below is AcPm3Pt after structural relaxation, with properties calculated at the PBE level.

Calculated values
* energy of formation: -376.4 meV per atom

Cell: 6.430 6.945 7.966 Å, 90.00 90.00 90.00°
Fractional coordinates of all 10 atoms:
Ac: 0.436 0.334 0.701
Ac: 0.936 0.019 0.201
Pm: 0.414 0.321 0.201
Pm: 0.431 0.862 0.948
Pm: 0.931 0.490 0.448
Pm: 0.431 0.862 0.453
Pm: 0.914 0.032 0.701
Pm: 0.931 0.490 0.954
Pt: 0.166 0.692 0.701
Pt: 0.666 0.661 0.201

Below is AcPmPt2 after structural relaxation, with properties calculated at the PBE level.

Calculated values
* energy of formation: -1146.7 meV per atom

Cell: 4.019 4.622 5.939 Å, 90.00 109.82 90.00°
Fractional coordinates of all 4 atoms:
Pt: 0.171 0.500 0.881
Pt: 0.992 0.000 0.523
Ac: 0.720 0.000 0.979
Pm: 0.448 0.500 0.436

Below is AcPmPt2 after structural relaxation, with properties calculated at the PBE level.

Calculated values
* energy of formation: -1023.1 meV per atom

Cell: 4.213 4.213 7.703 Å, 74.13 74.13 60.00°
Fractional coordinates of all 4 atoms:
Ac: 0.497 0.497 0.509
Pt: 0.079 0.079 0.764
Pt: 0.254 0.254 0.237
Pm: 0.670 0.670 0.990

Below is Ac2Pm2Pt3 after structural relaxation, with properties calculated at the PBE level.

Calculated values
* energy of formation: -939.4 meV per atom

Cell: 7.370 8.201 7.534 Å, 90.00 90.00 118.78°
Fractional coordinates of all 14 atoms:
Pt: 0.000 0.000 0.500
Pt: 0.271 0.449 0.451
Pt: 0.229 0.551 0.951
Pt: 0.729 0.551 0.549
Pt: 0.771 0.449 0.049
Pt: 0.500 0.000 0.000
Pm: 0.414 0.319 0.809
Pm: 0.586 0.681 0.191
Pm: 0.914 0.319 0.691
Pm: 0.086 0.681 0.309
Ac: 0.950 0.190 0.170
Ac: 0.050 0.810 0.830
Ac: 0.450 0.190 0.330
Ac: 0.550 0.810 0.670

Below is AcPmPt2 after structural relaxation, with properties calculated at the PBE level.

Calculated values
* energy of formation: -1037.7 meV per atom

Cell: 3.686 3.686 7.363 Å, 90.00 90.00 90.00°
Fractional coordinates of all 4 atoms:
Pt: 0.000 0.000 0.273
Pt: 0.000 0.000 0.727
Pm: 0.500 0.500 0.500
Ac: 0.500 0.500 0.000

Below is Ac2PmPt after structural relaxation, with properties calculated at the PBE level.

Calculated values
* energy of formation: -481.2 meV per atom

Cell: 4.204 4.204 10.060 Å, 77.94 77.94 60.00°
Fractional coordinates of all 4 atoms:
Pm: 0.500 0.500 0.500
Ac: 0.271 0.271 0.186
Ac: 0.062 0.062 0.814
Pt: 0.667 0.667 0.000

Below is AcPmPt after structural relaxation, with properties calculated at the PBE level.

Calculated values
* energy of formation: -737.9 meV per atom

Cell: 6.673 4.305 4.305 Å, 120.00 90.00 90.00°
Fractional coordinates of all 3 atoms:
Pt: 0.987 0.000 0.000
Pm: 0.766 0.667 0.333
Ac: 0.247 0.333 0.667

Below is AcPmRuPt after structural relaxation, with properties calculated at the PBE level.

Calculated values
* energy of formation: -487.7 meV per atom

Cell: 5.145 5.145 5.145 Å, 60.00 60.00 60.00°
Fractional coordinates of all 4 atoms:
Pm: 0.000 0.000 0.000
Ac: 0.500 0.500 0.500
Pt: 0.750 0.750 0.750
Ru: 0.250 0.250 0.250

Below is Ac2PmSb3Pt4 after structural relaxation, with properties calculated at the PBE level.

Calculated values
* formation energy (no corrections): -0.970 eV/atom

Cell: 4.685 4.685 11.420 Å, 90.00 90.00 90.00°
Fractional coordinates of all 10 atoms:
Sb: 0.000 0.000 0.500
Sb: 0.500 0.000 0.877
Sb: 0.000 0.500 0.123
Pm: 0.500 0.500 0.500
Pt: 0.500 0.000 0.647
Pt: 0.500 0.500 0.000
Pt: 0.000 0.000 0.000
Pt: 0.000 0.500 0.353
Ac: 0.000 0.500 0.781
Ac: 0.500 0.000 0.219

Below is AcPmSbPt after structural relaxation, with properties calculated at the PBE level.

Calculated values
* formation energy (no corrections): -0.840 eV/atom

Cell: 5.441 5.441 5.441 Å, 60.00 60.00 60.00°
Fractional coordinates of all 4 atoms:
Ac: 0.500 0.500 0.500
Sb: 0.250 0.250 0.250
Pt: 0.750 0.750 0.750
Pm: 0.000 0.000 0.000

Below is AcPmSi2Pt5 after structural relaxation, with properties calculated at the PBE level.

Calculated values
* formation energy (no corrections): -0.984 eV/atom

Cell: 4.359 4.359 9.041 Å, 90.00 90.00 90.00°
Fractional coordinates of all 9 atoms:
Pt: 0.500 0.000 0.253
Pt: 0.500 0.500 0.500
Pt: 0.000 0.500 0.253
Pt: 0.500 0.000 0.747
Pt: 0.000 0.500 0.747
Ac: 0.000 0.000 0.500
Si: 0.500 0.500 0.134
Si: 0.500 0.500 0.866
Pm: 0.000 0.000 0.000

Below is Ac2PmSi3Pt4 after structural relaxation, with properties calculated at the PBE level.

Calculated values
* formation energy (no corrections): -1.004 eV/atom

Cell: 4.403 4.403 11.074 Å, 90.00 90.00 90.00°
Fractional coordinates of all 10 atoms:
Si: 0.500 0.000 0.889
Si: 0.000 0.500 0.111
Si: 0.000 0.000 0.500
Pm: 0.500 0.500 0.500
Ac: 0.000 0.500 0.771
Ac: 0.500 0.000 0.229
Pt: 0.000 0.500 0.332
Pt: 0.000 0.000 0.000
Pt: 0.500 0.500 0.000
Pt: 0.500 0.000 0.668

Below is AcPmSmPt2 after structural relaxation, with properties calculated at the PBE level.

Calculated values
* energy of formation: -934.4 meV per atom

Cell: 4.644 8.806 8.039 Å, 86.04 73.21 74.71°
Fractional coordinates of all 10 atoms:
Ac: 0.819 0.726 0.636
Ac: 0.181 0.274 0.364
Sm: 0.916 0.951 0.217
Sm: 0.084 0.049 0.783
Pt: 0.651 0.117 0.581
Pt: 0.820 0.280 0.080
Pt: 0.180 0.720 0.920
Pt: 0.349 0.883 0.419
Pm: 0.616 0.629 0.138
Pm: 0.384 0.371 0.862

Below is AcPmSnPt after structural relaxation, with properties calculated at the PBE level.

Calculated values
* energy of formation: -733.6 meV per atom

Cell: 5.444 5.444 5.444 Å, 60.00 60.00 60.00°
Fractional coordinates of all 4 atoms:
Pm: 0.000 0.000 0.000
Pt: 0.750 0.750 0.750
Sn: 0.250 0.250 0.250
Ac: 0.500 0.500 0.500

Below is Ac2PmSn3Pt4 after structural relaxation, with properties calculated at the PBE level.

Calculated values
* energy of formation: -940.9 meV per atom

Cell: 4.727 4.727 11.207 Å, 90.00 90.00 90.00°
Fractional coordinates of all 10 atoms:
Pt: 0.000 0.000 0.000
Pt: 0.500 0.500 0.000
Pt: 0.500 0.000 0.646
Pt: 0.000 0.500 0.354
Sn: 0.000 0.500 0.119
Sn: 0.500 0.000 0.881
Sn: 0.000 0.000 0.500
Pm: 0.500 0.500 0.500
Ac: 0.500 0.000 0.225
Ac: 0.000 0.500 0.775

Below is AcPmSnPt after structural relaxation, with properties calculated at the PBE level.

Calculated values
* energy of formation: -697.1 meV per atom

Cell: 4.910 4.910 10.613 Å, 90.00 90.00 90.00°
Fractional coordinates of all 8 atoms:
Ac: 0.000 0.500 0.801
Ac: 0.500 0.000 0.199
Sn: 0.000 0.500 0.105
Sn: 0.500 0.000 0.895
Pm: 0.000 0.000 0.500
Pm: 0.500 0.500 0.500
Pt: 0.000 0.500 0.351
Pt: 0.500 0.000 0.649

Below is Ac2PmSn4Pt3 after structural relaxation, with properties calculated at the PBE level.

Calculated values
* energy of formation: -840.3 meV per atom

Cell: 4.604 4.604 12.301 Å, 90.00 90.00 90.00°
Fractional coordinates of all 10 atoms:
Sn: 0.000 0.500 0.339
Sn: 0.500 0.000 0.661
Sn: 0.000 0.000 0.000
Sn: 0.500 0.500 0.000
Pt: 0.000 0.000 0.500
Pt: 0.000 0.500 0.121
Pt: 0.500 0.000 0.879
Pm: 0.500 0.500 0.500
Ac: 0.500 0.000 0.231
Ac: 0.000 0.500 0.769

Below is Ac3PmTh2Pt6 after structural relaxation, with properties calculated at the PBE level.

Calculated values
* energy of formation: -1185.5 meV per atom

Cell: 7.421 7.421 7.439 Å, 99.56 99.56 119.93°
Fractional coordinates of all 12 atoms:
Ac: 0.500 0.500 0.500
Ac: 0.167 0.833 0.500
Ac: 0.833 0.167 0.500
Pm: 0.000 0.000 0.000
Th: 0.333 0.667 0.000
Th: 0.667 0.333 0.000
Pt: 0.415 0.077 0.231
Pt: 0.585 0.923 0.769
Pt: 0.923 0.585 0.769
Pt: 0.261 0.261 0.769
Pt: 0.077 0.415 0.231
Pt: 0.739 0.739 0.231

Below is AcPmZnPt after structural relaxation, with properties calculated at the PBE level.

Calculated values
* energy of formation: -687.2 meV per atom

Cell: 4.215 4.551 5.980 Å, 90.00 110.63 90.00°
Fractional coordinates of all 4 atoms:
Ac: 0.144 0.000 0.288
Zn: 0.567 0.500 0.133
Pm: 0.863 0.500 0.727
Pt: 0.426 0.000 0.852

Below is AcPmZnPt after structural relaxation, with properties calculated at the PBE level.

Calculated values
* energy of formation: -620.5 meV per atom

Cell: 5.282 5.282 5.282 Å, 60.00 60.00 60.00°
Fractional coordinates of all 4 atoms:
Pm: 0.000 0.000 0.000
Zn: 0.250 0.250 0.250
Pt: 0.750 0.750 0.750
Ac: 0.500 0.500 0.500

no.,D(E_F) (states/eV/atom),total moment (μB per cell)
1,0.4214,0.00
2,0.5516,0.00
3,0.2166,0.00
4,1.2897,0.00
5,0.6055,0.00
6,1.2571,0.00
7,0.5876,0.00
8,0.4970,0.00
9,0.7423,0.00
10,0.6335,0.00
11,1.3305,0.00
12,1.0179,0.00
13,1.0146,0.00
14,0.3873,0.00
15,1.1114,0.69
16,0.3599,0.00
17,0.5837,0.00
18,0.7605,0.00
19,0.3932,0.00
20,0.6421,0.00
21,0.7572,0.00
22,0.4374,0.00
23,0.4632,0.00
24,0.8134,0.00
25,0.7092,0.00